First-principles (GGA-PBEsol) data for a geometry-optimized LaZrSe structure, as listed in Alexandria.

It has space group F-43m (No. 216), with a = 6.593 Å, b = 6.593 Å, c = 6.593 Å, α = 90.00°, β = 90.00° and γ = 90.00°. The inequivalent atoms are La at (0.000, 0.000, 0.000), Zr at (0.250, 0.250, 0.250) and Se at (0.000, 0.000, 0.500).

The value obtained for the energy above the lowest structure with this stoichiometry is 0.0 meV/atom. The total moment comes out at 0.71 μB/f.u.

---

First-principles (GGA-PBEsol) data for a geometry-optimized LaZr2Se structure, as listed in Alexandria.

It has space group P4/mmm (No. 123), with a = 4.344 Å, b = 4.344 Å, c = 4.608 Å, α = 90.00°, β = 90.00° and γ = 90.00°. The inequivalent atoms are La at (0.000, 0.000, 0.000), Zr at (0.000, 0.500, 0.500) and Se at (0.500, 0.500, 0.000).

The total moment comes out at 0.00 μB/f.u.

---

First-principles (GGA-PBEsol) data for a geometry-optimized La2ZrSe structure, as listed in Alexandria.

It has space group P4/mmm (No. 123), with a = 3.551 Å, b = 3.551 Å, c = 8.595 Å, α = 90.00°, β = 90.00° and γ = 90.00°. The inequivalent atoms are La at (0.000, 0.000, 0.222), Zr at (0.500, 0.500, 0.500) and Se at (0.500, 0.500, 0.000).

The total moment comes out at 0.00 μB/f.u.

---

First-principles (GGA-PBEsol) data for a geometry-optimized LaZrSe structure, as listed in Alexandria.

It has space group F-43m (No. 216), with a = 7.075 Å, b = 7.075 Å, c = 7.075 Å, α = 90.00°, β = 90.00° and γ = 90.00°. The inequivalent atoms are La at (0.000, 0.000, 0.000), Zr at (0.250, 0.250, 0.250) and Se at (0.250, 0.250, 0.750).

The value obtained for the energy above the lowest structure with this stoichiometry is 463.3 meV/atom. The total moment comes out at 3.52 μB/f.u.

---

First-principles (GGA-PBEsol) data for a geometry-optimized LaZr2Se structure, as listed in Alexandria.

It has space group I4/mmm (No. 139), with a = 4.282 Å, b = 4.282 Å, c = 9.777 Å, α = 90.00°, β = 90.00° and γ = 90.00°. The inequivalent atoms are La at (0.000, 0.000, 0.000), Zr at (0.000, 0.500, 0.250) and Se at (0.000, 0.000, 0.500).

The total moment comes out at 0.00 μB/f.u.

---

First-principles (GGA-PBEsol) data for a geometry-optimized La3Si2 structure, as listed in Alexandria.

It has space group P4/mbm (No. 127), with a = 7.826 Å, b = 7.826 Å, c = 4.363 Å, α = 90.00°, β = 90.00° and γ = 90.00°. The inequivalent atoms are La at (0.000, 0.000, 0.000), La at (0.177, 0.323, 0.500) and Si at (0.110, 0.610, 0.000).

The total moment comes out at 0.00 μB/f.u.

---

First-principles (GGA-PBEsol) data for a geometry-optimized La2Si structure, as listed in Alexandria.

It has space group Immm (No. 71), with a = 4.123 Å, b = 6.490 Å, c = 13.044 Å, α = 90.00°, β = 90.00° and γ = 90.00°. The inequivalent atoms are La at (0.000, 0.000, 0.198), La at (0.000, 0.227, 0.500) and Si at (0.000, 0.500, 0.138).

The total moment comes out at 0.00 μB/f.u.

---

First-principles (GGA-PBEsol) data for a geometry-optimized La2Si structure, as listed in Alexandria.

It has space group P-62m (No. 189), with a = 8.0475 Å, b = 8.0475 Å, c = 4.3782 Å, α = 90.00°, β = 90.00° and γ = 120.00°. The inequivalent atoms are La at (0.0000, 0.4293, 0.0000), La at (0.0000, 0.7412, 0.5000), Si at (0.0000, 0.0000, 0.0000) and Si at (0.3333, 0.6667, 0.5000).

The total moment comes out at 0.00 μB/f.u.

---

For reference, E_form (uncorrected) by record: -0.03 -0.33 -0.62 0.43 -0.28 -0.65 -0.46 -0.55 eV per atom.